The following is a DFT calculation (PBE+U) of a relaxed V3AgF crystal.

The calculation puts the total magnetization at 10.331 μB/f.u. As for the volume: 140 Å³ per cell. The calculation puts the excess energy over the best structure of this formula in the dataset at 955.3 meV per atom.

The space group is Pm-3m (No. 221) and the conventional cell measures 5.195, 5.195 and 5.195 Å, with angles of 90.00, 90.00 and 90.00 degrees. The asymmetric unit holds V at (0.000, 0.000, 0.500), Ag at (0.000, 0.000, 0.000) and F at (0.500, 0.500, 0.500).